No. 1
YMnPb2 | GGA-PBEsol | relaxed

Structure (extended XYZ):
```
4
Lattice="5.120 0.000 0.000 2.560 4.434 0.000 2.560 1.478 4.180" Properties=species:S:1:pos:R:3 pbc="T T T"
Pb 2.560 1.478 1.045
Pb 7.680 4.434 3.135
Y 5.120 2.956 2.090
Mn 0.000 0.000 0.000
```

Values from the calculation:
**DOS at the Fermi energy**: 4.7 states/eV per cell
**Calculated formation energy**: 0.5 eV per formula unit

***

No. 2
YMnPb | GGA-PBEsol | relaxed

Structure (extended XYZ):
```
3
Lattice="3.462 0.000 0.000 0.000 3.462 0.000 -1.731 -1.731 5.588" Properties=species:S:1:pos:R:3 pbc="T T T"
Mn 1.731 1.731 5.493
Pb 0.000 0.000 3.962
Y 1.731 1.731 1.721
```

Values from the calculation:
**DOS at the Fermi energy**: 1.9 states/eV per cell
**Calculated formation energy**: 0.2 eV per formula unit

***

No. 3
YMnPb3 | GGA-PBEsol | relaxed

Structure (extended XYZ):
```
5
Lattice="-4.488 -3.422 -0.965 2.406 -4.068 3.232 -2.617 2.128 4.627" Properties=species:S:1:pos:R:3 pbc="T T T"
Pb 1.203 -2.034 1.616
Pb -1.309 1.064 2.313
Pb -2.244 -1.711 -0.483
Y 0.000 0.000 0.000
Mn -2.350 -2.681 3.447
```

Values from the calculation:
**DOS at the Fermi energy**: 4.8 states/eV per cell
**Calculated formation energy**: 5.0 eV per formula unit

***

No. 4
YMnPb | GGA-PBEsol | relaxed

Structure (extended XYZ):
```
3
Lattice="4.926 0.000 0.000 2.463 4.266 0.000 2.463 1.422 4.022" Properties=species:S:1:pos:R:3 pbc="T T T"
Mn 0.000 0.000 0.000
Pb 4.926 2.844 2.011
Y 2.463 1.422 1.005
```

Values from the calculation:
**DOS at the Fermi energy**: 2.3 states/eV per cell
**Calculated formation energy**: 1.9 eV per formula unit

***

Total magnetic moment for every record listed, in sequence, given in Bohr magnetons per cell: 3.51 3.01 5.07 4.54.
Mass density for every record listed, in sequence, given in g cm⁻³: 9.77 8.71 6.77 6.90.